Computed, not measured: Ta3W5 after structural relaxation at the PBE-GGA level of DFT. Values from VASP.

Structure (Quantum ESPRESSO input):
```
&SYSTEM
  ibrav = 0, nat = 8, ntyp = 2
/
ATOMIC_SPECIES
Ta 180.95 Ta.upf
W 183.84 W.upf
ATOMIC_POSITIONS crystal
Ta 0.000 0.000 0.000
Ta 0.250 0.750 0.500
Ta 0.750 0.250 0.500
W 0.000 0.500 0.000
W 0.253 0.253 0.500
W 0.500 0.000 0.000
W 0.500 0.500 0.000
W 0.747 0.747 0.500
CELL_PARAMETERS angstrom
3.223 -4.570 0.000
3.223 4.570 0.000
0.000 0.000 4.549
```

Properties
Formation energy ... -0.111 eV per atom
Calculated total energy ... -101.2 eV per cell
Energy above the lowest structure with this stoichiometry ... 4.4 meV/atom
D(E_F) ... 3.38 states/eV per cell